The following is a PBE-GGA calculation of a relaxed structure of CeB2RuRh, from Alexandria.

a b c (Å): 3.911 3.911 5.534
angles (deg): 110.70 110.70 90.00
Each line ends with the local moment (μB).
Positions (direct):
Ru 0.250 0.750 0.500  -0.01
Rh 0.750 0.250 0.500  -0.02
B 0.343 0.343 0.686  0.00
B 0.657 0.657 0.314  0.00
Ce 0.000 0.000 0.000  0.53

## Properties
ΔE_f (eV/atom): -0.539
DOS(E_F) (states/eV/cell): 5.05
DFT total energy (hartree per atom): -0.2838
M_tot (μB per formula unit): 0.62
Density (g/cm3): 8.28